{
  "formula": "KSb3",
  "functional": "GGA-PBE",
  "state": "relaxed",
  "lattice": [[4.893, 0.000, 0.000], [0.000, 4.893, 0.000], [0.000, 0.000, 4.893]],
  "species": ["K", "Sb", "Sb", "Sb"],
  "frac_coords": [[0.000, 0.000, 0.000], [0.000, 0.500, 0.500], [0.500, 0.000, 0.500], [0.500, 0.500, 0.000]],
  "relative_energy_kj_per_mol_fu": 47.9,
  "e_form_raw_ev_per_atom": -0.0186,
  "e_tot_ev_per_atom": -3.3848,
  "dos_ef_per_ev_fu": 2.4,
  "magnetic_moment_mub_per_cell": 0.00,
  "rho_g_cm3": 5.73
}


{
  "formula": "K5Sb3",
  "functional": "GGA-PBE",
  "state": "relaxed",
  "lattice": [[5.181, -5.458, 0.000], [5.181, 5.458, 0.000], [0.000, 0.000, 5.087]],
  "species": ["K", "K", "K", "K", "K", "Sb", "Sb", "Sb"],
  "frac_coords": [[0.000, 0.000, 0.000], [0.000, 0.500, 0.000], [0.275, 0.725, 0.500], [0.500, 0.000, 0.000], [0.725, 0.275, 0.500], [0.258, 0.258, 0.500], [0.500, 0.500, 0.000], [0.742, 0.742, 0.500]],
  "e_form_raw_ev_per_atom": -0.2717,
  "e_tot_ev_per_atom": -2.5036,
  "dos_ef_per_ev_fu": 1.8,
  "magnetic_moment_mub_per_cell": 0.00,
  "rho_g_cm3": 3.24
}


{
  "formula": "KSb3",
  "functional": "GGA-PBE",
  "state": "relaxed",
  "lattice": [[5.834, -2.006, 0.000], [5.834, 2.006, 0.000], [-2.085, 0.000, 5.943]],
  "species": ["K", "Sb", "Sb", "Sb"],
  "frac_coords": [[0.000, 0.000, 0.000], [0.219, 0.219, 0.644], [0.500, 0.500, 0.500], [0.781, 0.781, 0.356]],
  "relative_energy_kj_per_mol_fu": 0.0,
  "e_form_raw_ev_per_atom": -0.1427,
  "e_tot_ev_per_atom": -3.5088,
  "dos_ef_per_ev_fu": 1.8,
  "magnetic_moment_mub_per_cell": 0.00,
  "rho_g_cm3": 4.83
}


{
  "formula": "KSb3",
  "functional": "GGA-PBE",
  "state": "relaxed",
  "lattice": [[4.243, 0.000, 0.000], [0.000, 4.243, 0.000], [0.000, 0.000, 7.235]],
  "species": ["K", "Sb", "Sb", "Sb"],
  "frac_coords": [[0.000, 0.000, 0.000], [0.000, 0.000, 0.500], [0.500, 0.500, 0.304], [0.500, 0.500, 0.696]],
  "relative_energy_kj_per_mol_fu": 44.1,
  "e_form_raw_ev_per_atom": -0.0284,
  "e_tot_ev_per_atom": -3.3946,
  "dos_ef_per_ev_fu": 3.0,
  "magnetic_moment_mub_per_cell": 0.00,
  "rho_g_cm3": 5.15
}


{
  "formula": "KSb3",
  "functional": "GGA-PBE",
  "state": "relaxed",
  "lattice": [[-2.404, 2.404, 10.230], [2.404, -2.404, 10.230], [2.404, 2.404, -10.230]],
  "species": ["K", "K", "Sb", "Sb", "Sb", "Sb", "Sb", "Sb"],
  "frac_coords": [[0.125, 0.125, 0.000], [0.875, 0.875, 0.000], [0.000, 0.500, 0.500], [0.250, 0.750, 0.500], [0.387, 0.387, 0.000], [0.500, 0.000, 0.500], [0.613, 0.613, 0.000], [0.750, 0.250, 0.500]],
  "relative_energy_kj_per_mol_fu": 58.6,
  "e_form_raw_ev_per_atom": 0.0092,
  "e_tot_ev_per_atom": -3.3570,
  "dos_ef_per_ev_fu": 2.5,
  "magnetic_moment_mub_per_cell": 0.00,
  "rho_g_cm3": 5.68
}


{
  "formula": "K4Sb",
  "functional": "GGA-PBE",
  "state": "relaxed",
  "lattice": [[6.855, 0.000, 0.000], [0.000, 6.855, 0.000], [0.000, 0.000, 6.855]],
  "species": ["K", "K", "K", "K", "Sb"],
  "frac_coords": [[0.000, 0.000, 0.000], [0.000, 0.500, 0.500], [0.500, 0.000, 0.500], [0.500, 0.500, 0.000], [0.500, 0.500, 0.500]],
  "relative_energy_kj_per_mol_fu": 40.2,
  "e_form_raw_ev_per_atom": -0.1758,
  "e_tot_ev_per_atom": -1.8783,
  "dos_ef_per_ev_fu": 4.0,
  "magnetic_moment_mub_per_cell": 0.45,
  "rho_g_cm3": 1.43
}


{
  "formula": "KSb4",
  "functional": "GGA-PBE",
  "state": "relaxed",
  "lattice": [[5.763, 0.000, 0.000], [0.000, 5.763, 0.000], [0.000, 0.000, 5.763]],
  "species": ["K", "Sb", "Sb", "Sb", "Sb"],
  "frac_coords": [[0.000, 0.000, 0.000], [0.000, 0.000, 0.500], [0.000, 0.500, 0.000], [0.500, 0.000, 0.000], [0.500, 0.500, 0.500]],
  "relative_energy_kj_per_mol_fu": 706.9,
  "e_form_raw_ev_per_atom": 1.3585,
  "e_tot_ev_per_atom": -2.1590,
  "dos_ef_per_ev_fu": 8.2,
  "magnetic_moment_mub_per_cell": 0.50,
  "rho_g_cm3": 4.56
}


{
  "formula": "KSb3",
  "functional": "GGA-PBE",
  "state": "relaxed",
  "lattice": [[3.975, 0.000, 0.000], [-1.987, 3.442, 0.000], [0.000, 0.000, 9.726]],
  "species": ["K", "Sb", "Sb", "Sb"],
  "frac_coords": [[0.000, 0.000, 0.000], [0.000, 0.000, 0.500], [0.667, 0.333, 0.289], [0.667, 0.333, 0.711]],
  "relative_energy_kj_per_mol_fu": 63.0,
  "e_form_raw_ev_per_atom": 0.0205,
  "e_tot_ev_per_atom": -3.3457,
  "dos_ef_per_ev_fu": 0.9,
  "magnetic_moment_mub_per_cell": 0.00,
  "rho_g_cm3": 5.05
}


{
  "formula": "KSb3",
  "functional": "GGA-PBE",
  "state": "relaxed",
  "lattice": [[-2.461, 2.461, 4.908], [2.461, -2.461, 4.908], [2.461, 2.461, -4.908]],
  "species": ["K", "Sb", "Sb", "Sb"],
  "frac_coords": [[0.000, 0.000, 0.000], [0.250, 0.750, 0.500], [0.500, 0.500, 0.000], [0.750, 0.250, 0.500]],
  "relative_energy_kj_per_mol_fu": 72.0,
  "e_form_raw_ev_per_atom": 0.0439,
  "e_tot_ev_per_atom": -3.3222,
  "dos_ef_per_ev_fu": 2.3,
  "magnetic_moment_mub_per_cell": 0.00,
  "rho_g_cm3": 5.65
}


{
  "formula": "KSb3",
  "functional": "GGA-PBE",
  "state": "relaxed",
  "lattice": [[-1.972, 2.885, 5.483], [1.972, -2.885, 5.483], [1.972, 2.885, -5.483]],
  "species": ["K", "Sb", "Sb", "Sb"],
  "frac_coords": [[0.000, 0.000, 0.000], [0.287, 0.787, 0.500], [0.500, 0.500, 0.000], [0.713, 0.213, 0.500]],
  "relative_energy_kj_per_mol_fu": 45.9,
  "e_form_raw_ev_per_atom": -0.0237,
  "e_tot_ev_per_atom": -3.3898,
  "dos_ef_per_ev_fu": 2.5,
  "magnetic_moment_mub_per_cell": 0.00,
  "rho_g_cm3": 5.38
}